Computed, not measured: an optimized crystal structure of K2RhF5 at the PBE-GGA level of DFT.

Calculated values
E_form (uncorrected), eV per atom: -2.11
Symmetry: I4mm

```
K2RhF5
1.0
-3.1385 3.1385 3.6833
3.1385 -3.1385 3.6833
3.1385 3.1385 -3.6833
K Rh F
2 1 5
Direct
0.0000 0.5000 0.5000
0.5000 0.0000 0.5000
0.2502 0.2502 0.0000
0.0194 0.0194 0.5496
0.0194 0.4699 0.0000
0.4699 0.0194 0.0000
0.4699 0.4699 0.4504
0.5093 0.5093 0.0000
```

=====

Computed, not measured: an optimized crystal structure of K3RhF at the PBE-GGA level of DFT.

Calculated values
E_form (uncorrected), eV per atom: -0.63
D(E_F), states/eV/cell: 4.77
Symmetry: Pm-3m

```
K3RhF
1.0
5.2789 0.0000 0.0000
0.0000 5.2789 0.0000
0.0000 0.0000 5.2789
K Rh F
3 1 1
Direct
0.0000 0.0000 0.5000
0.0000 0.5000 0.0000
0.5000 0.0000 0.0000
0.5000 0.5000 0.5000
0.0000 0.0000 0.0000
```

=====

- Among the records above, which one has the highest E_form (uncorrected)?
  K3RhF

=====

- Look up the E_form (uncorrected) of the second one.
  -0.63 eV per atom